## a
A crystal of TaHRh3 relaxed with PBEsol. Source: Alexandria via LeMat-Bulk, functional meta-GGA SCAN.

a = 3.8920 Å, b = 3.8920 Å, c = 3.8920 Å
α = 90.00°, β = 90.00°, γ = 90.00°
Closest atoms and distances in Å follow each position.
Atoms (fractional coordinates):
Ta (0.0000, 0.0000, 0.0000)  12 Rh 2.75
H (0.5000, 0.5000, 0.5000)  6 Rh 1.95
Rh (0.0000, 0.5000, 0.5000)  2 H 1.95
Rh (0.5000, 0.0000, 0.5000)  2 H 1.95
Rh (0.5000, 0.5000, 0.0000)  2 H 1.95

---

## b
A crystal of TaHRh3 relaxed with PBEsol. Source: Alexandria via LeMat-Bulk, functional meta-GGA SCAN.

a = 4.6720 Å, b = 4.6720 Å, c = 4.6720 Å
α = 90.00°, β = 90.00°, γ = 90.00°
Closest atoms and distances in Å follow each position.
Atoms (fractional coordinates):
Ta (0.0000, 0.0000, 0.0000)  6 Rh 2.34
H (0.5000, 0.5000, 0.5000)  12 Rh 3.30
Rh (0.0000, 0.0000, 0.5000)  2 Ta 2.34
Rh (0.0000, 0.5000, 0.0000)  2 Ta 2.34
Rh (0.5000, 0.0000, 0.0000)  2 Ta 2.34

---

Quick one: most stable of them? a

---

## a
A crystal of HRu3W relaxed with PBEsol. Source: Alexandria via LeMat-Bulk, functional meta-GGA SCAN.

a = 5.5012 Å, b = 5.5012 Å, c = 4.3650 Å
α = 90.00°, β = 90.00°, γ = 120.00°
Closest atoms and distances in Å follow each position.
Atoms (fractional coordinates):
H (0.0000, 0.0000, 0.0000)  6 Ru 1.96, 2 H 2.18
H (0.0000, 0.0000, 0.5000)  6 Ru 1.96, 2 H 2.18
Ru (0.1706, 0.3412, 0.2500)  2 H 1.96
Ru (0.1706, 0.8294, 0.2500)  2 H 1.96
Ru (0.3412, 0.1706, 0.7500)  2 H 1.96
Ru (0.6588, 0.8294, 0.2500)  2 H 1.96
Ru (0.8294, 0.1706, 0.7500)  2 H 1.96
Ru (0.8294, 0.6588, 0.7500)  2 H 1.96
W (0.3333, 0.6667, 0.7500)  12 Ru 2.68-2.75
W (0.6667, 0.3333, 0.2500)  12 Ru 2.68-2.75

---

## b
A crystal of HRu3W relaxed with PBEsol. Source: Alexandria via LeMat-Bulk, functional meta-GGA SCAN.

a = 3.8555 Å, b = 3.8555 Å, c = 3.8555 Å
α = 90.00°, β = 90.00°, γ = 90.00°
Closest atoms and distances in Å follow each position.
Atoms (fractional coordinates):
H (0.0000, 0.0000, 0.0000)  6 Ru 1.93
Ru (0.0000, 0.0000, 0.5000)  2 H 1.93
Ru (0.0000, 0.5000, 0.0000)  2 H 1.93
Ru (0.5000, 0.0000, 0.0000)  2 H 1.93
W (0.5000, 0.5000, 0.5000)  12 Ru 2.73

---

Quick one: most stable of them? a

---

## a
A crystal of TaSb2H2 relaxed with PBEsol. Source: Alexandria via LeMat-Bulk, functional meta-GGA SCAN.

a = 6.4303 Å, b = 6.4303 Å, c = 3.3770 Å
α = 90.00°, β = 90.00°, γ = 90.00°
Closest atoms and distances in Å follow each position.
Atoms (fractional coordinates):
Ta (0.0000, 0.0000, 0.0000)  4 H 2.36
Ta (0.5000, 0.5000, 0.0000)  4 H 2.36
Sb (0.1561, 0.3439, 0.5000)  2 H 2.26
Sb (0.3439, 0.8439, 0.5000)  2 H 2.26
Sb (0.6561, 0.1561, 0.5000)  2 H 2.26
Sb (0.8439, 0.6561, 0.5000)  2 H 2.26
H (0.1788, 0.6788, 0.0000)  2 Sb 2.26, 2 Ta 2.36
H (0.3212, 0.1788, 0.0000)  2 Sb 2.26, 2 Ta 2.36
H (0.6788, 0.8212, 0.0000)  2 Sb 2.26, 2 Ta 2.36
H (0.8212, 0.3212, 0.0000)  2 Sb 2.26, 2 Ta 2.36

---

## b
A crystal of TaSb2H2 relaxed with PBEsol. Source: Alexandria via LeMat-Bulk, functional meta-GGA SCAN.

a = 5.0897 Å, b = 5.0897 Å, c = 5.9035 Å
α = 90.00°, β = 90.00°, γ = 90.00°
Closest atoms and distances in Å follow each position.
Atoms (fractional coordinates):
Ta (0.0000, 0.0000, 0.0000)  2 H 2.52
Ta (0.5000, 0.5000, 0.5000)  2 H 2.52
Sb (0.0000, 0.5000, 0.2500)  4 H 2.75, 4 Ta 2.94, 2 Sb 2.95
Sb (0.0000, 0.5000, 0.7500)  4 H 2.75, 4 Ta 2.94, 2 Sb 2.95
Sb (0.5000, 0.0000, 0.2500)  4 H 2.75, 4 Ta 2.94, 2 Sb 2.95
Sb (0.5000, 0.0000, 0.7500)  4 H 2.75, 4 Ta 2.94, 2 Sb 2.95
H (0.0000, 0.0000, 0.4269)  1 H 0.86
H (0.0000, 0.0000, 0.5731)  1 H 0.86
H (0.5000, 0.5000, 0.0731)  1 H 0.86
H (0.5000, 0.5000, 0.9269)  1 H 0.86

---

Quick one: most stable of them? b

---

## a
A crystal of ScHSe2 relaxed with PBEsol. Source: Alexandria via LeMat-Bulk, functional meta-GGA SCAN.

a = 3.9040 Å, b = 3.9040 Å, c = 19.1265 Å
α = 90.00°, β = 90.00°, γ = 120.00°
Closest atoms and distances in Å follow each position.
Atoms (fractional coordinates):
Sc (0.0000, 0.0000, 0.0000)  6 Se 2.68
Sc (0.3333, 0.6667, 0.6667)  6 Se 2.68
Sc (0.6667, 0.3333, 0.3333)  6 Se 2.68
H (0.0000, 0.0000, 0.5000)  2 Se 1.74
H (0.3333, 0.6667, 0.1667)  2 Se 1.74
H (0.6667, 0.3333, 0.8333)  2 Se 1.74
Se (0.0000, 0.0000, 0.4092)  1 H 1.74
Se (0.0000, 0.0000, 0.5908)  1 H 1.74
Se (0.3333, 0.6667, 0.0759)  1 H 1.74
Se (0.3333, 0.6667, 0.2575)  1 H 1.74
Se (0.6667, 0.3333, 0.7425)  1 H 1.74
Se (0.6667, 0.3333, 0.9241)  1 H 1.74

---

## b
A crystal of ScHSe2 relaxed with PBEsol. Source: Alexandria via LeMat-Bulk, functional meta-GGA SCAN.

a = 6.8166 Å, b = 3.8966 Å, c = 6.8454 Å
α = 90.00°, β = 107.98°, γ = 90.00°
Closest atoms and distances in Å follow each position.
Atoms (fractional coordinates):
Sc (0.0081, 0.2500, 0.2284)  6 Se 2.62-2.74
Sc (0.9919, 0.7500, 0.7716)  6 Se 2.62-2.74
H (0.4451, 0.2500, 0.7328)  1 Se 1.56
H (0.5549, 0.7500, 0.2672)  1 Se 1.56
Se (0.2058, 0.2500, 0.6435)  1 H 1.56
Se (0.2360, 0.7500, 0.1523)  1 H 2.07
Se (0.7640, 0.2500, 0.8477)  1 H 2.07
Se (0.7942, 0.7500, 0.3565)  1 H 1.56

---

Quick one: most stable of them? b

---

## a
A crystal of TaTi3H relaxed with PBEsol. Source: Alexandria via LeMat-Bulk, functional meta-GGA SCAN.

a = 4.7789 Å, b = 4.7789 Å, c = 4.7789 Å
α = 90.00°, β = 90.00°, γ = 90.00°
Closest atoms and distances in Å follow each position.
Atoms (fractional coordinates):
Ta (0.0000, 0.0000, 0.0000)  6 Ti 2.39
Ti (0.0000, 0.0000, 0.5000)  2 Ta 2.39
Ti (0.0000, 0.5000, 0.0000)  2 Ta 2.39
Ti (0.5000, 0.0000, 0.0000)  2 Ta 2.39
H (0.5000, 0.5000, 0.5000)  12 Ti 3.38

---

## b
A crystal of TaTi3H relaxed with PBEsol. Source: Alexandria via LeMat-Bulk, functional meta-GGA SCAN.

a = 4.0937 Å, b = 4.0937 Å, c = 4.0937 Å
α = 90.00°, β = 90.00°, γ = 90.00°
Closest atoms and distances in Å follow each position.
Atoms (fractional coordinates):
Ta (0.0000, 0.0000, 0.0000)  12 Ti 2.89
Ti (0.0000, 0.5000, 0.5000)  2 H 2.05
Ti (0.5000, 0.0000, 0.5000)  2 H 2.05
Ti (0.5000, 0.5000, 0.0000)  2 H 2.05
H (0.5000, 0.5000, 0.5000)  6 Ti 2.05

---

Quick one: most stable of them? b

---

## a
A crystal of Zn2TeH relaxed with PBEsol. Source: Alexandria via LeMat-Bulk, functional meta-GGA SCAN.

a = 4.6596 Å, b = 4.6596 Å, c = 12.6636 Å
α = 90.00°, β = 90.00°, γ = 90.00°
Closest atoms and distances in Å follow each position.
Atoms (fractional coordinates):
Zn (0.1114, 0.2500, 0.1250)  2 H 2.03
Zn (0.2500, 0.6113, 0.3750)  2 H 2.03
Zn (0.2500, 0.8886, 0.8750)  2 H 2.03
Zn (0.3886, 0.2500, 0.6250)  2 H 2.03
Zn (0.6113, 0.7500, 0.6250)  2 H 2.03
Zn (0.7500, 0.1114, 0.8750)  2 H 2.03
Zn (0.7500, 0.3886, 0.3750)  2 H 2.03
Zn (0.8886, 0.7500, 0.1250)  2 H 2.03
Te (0.0000, 0.0000, 0.5000)  4 Zn 2.67
Te (0.0000, 0.5000, 0.7500)  4 Zn 2.67
Te (0.5000, 0.0000, 0.2500)  4 Zn 2.67
Te (0.5000, 0.5000, 0.0000)  4 Zn 2.67
H (0.0000, 0.0000, 0.0000)  4 Zn 2.03
H (0.0000, 0.5000, 0.2500)  4 Zn 2.03
H (0.5000, 0.0000, 0.7500)  4 Zn 2.03
H (0.5000, 0.5000, 0.5000)  4 Zn 2.03

---

## b
A crystal of Zn2TeH relaxed with PBEsol. Source: Alexandria via LeMat-Bulk, functional meta-GGA SCAN.

a = 6.4347 Å, b = 6.4347 Å, c = 6.4347 Å
α = 90.00°, β = 90.00°, γ = 90.00°
Closest atoms and distances in Å follow each position.
Atoms (fractional coordinates):
Zn (0.2500, 0.2500, 0.2500)  4 H 2.79, 4 Te 2.79
Zn (0.2500, 0.2500, 0.7500)  4 H 2.79, 4 Te 2.79
Zn (0.2500, 0.7500, 0.2500)  4 H 2.79, 4 Te 2.79
Zn (0.2500, 0.7500, 0.7500)  4 H 2.79, 4 Te 2.79
Zn (0.7500, 0.2500, 0.2500)  4 H 2.79, 4 Te 2.79
Zn (0.7500, 0.2500, 0.7500)  4 H 2.79, 4 Te 2.79
Zn (0.7500, 0.7500, 0.2500)  4 H 2.79, 4 Te 2.79
Zn (0.7500, 0.7500, 0.7500)  4 H 2.79, 4 Te 2.79
Te (0.0000, 0.0000, 0.0000)  8 Zn 2.79
Te (0.0000, 0.5000, 0.5000)  8 Zn 2.79
Te (0.5000, 0.0000, 0.5000)  8 Zn 2.79
Te (0.5000, 0.5000, 0.0000)  8 Zn 2.79
H (0.0000, 0.0000, 0.5000)  8 Zn 2.79
H (0.0000, 0.5000, 0.0000)  8 Zn 2.79
H (0.5000, 0.0000, 0.0000)  8 Zn 2.79
H (0.5000, 0.5000, 0.5000)  8 Zn 2.79

---

Quick one: most stable of them? a

---

## a
A crystal of ZrTi3H relaxed with PBEsol. Source: Alexandria via LeMat-Bulk, functional meta-GGA SCAN.

a = 4.7662 Å, b = 4.7662 Å, c = 4.7662 Å
α = 90.00°, β = 90.00°, γ = 90.00°
Closest atoms and distances in Å follow each position.
Atoms (fractional coordinates):
Zr (0.0000, 0.0000, 0.0000)  6 Ti 2.38
Ti (0.0000, 0.0000, 0.5000)  2 Zr 2.38
Ti (0.0000, 0.5000, 0.0000)  2 Zr 2.38
Ti (0.5000, 0.0000, 0.0000)  2 Zr 2.38
H (0.5000, 0.5000, 0.5000)  12 Ti 3.37

---

## b
A crystal of ZrTi3H relaxed with PBEsol. Source: Alexandria via LeMat-Bulk, functional meta-GGA SCAN.

a = 4.1745 Å, b = 4.1745 Å, c = 4.1745 Å
α = 90.00°, β = 90.00°, γ = 90.00°
Closest atoms and distances in Å follow each position.
Atoms (fractional coordinates):
Zr (0.0000, 0.0000, 0.0000)  12 Ti 2.95
Ti (0.0000, 0.5000, 0.5000)  2 H 2.09
Ti (0.5000, 0.0000, 0.5000)  2 H 2.09
Ti (0.5000, 0.5000, 0.0000)  2 H 2.09
H (0.5000, 0.5000, 0.5000)  6 Ti 2.09

---

Quick one: most stable of them? b

---

## a
A crystal of Hf relaxed with PBEsol. Source: Alexandria via LeMat-Bulk, functional meta-GGA SCAN.

a = 3.1533 Å, b = 3.1533 Å, c = 4.9842 Å
α = 90.00°, β = 90.00°, γ = 120.00°
Closest atoms and distances in Å follow each position.
Atoms (fractional coordinates):
Hf (0.3333, 0.6667, 0.2500)  12 Hf 3.09-3.15
Hf (0.6667, 0.3333, 0.7500)  12 Hf 3.09-3.15

---

## b
A crystal of Hf relaxed with PBEsol. Source: Alexandria via LeMat-Bulk, functional meta-GGA SCAN.

a = 4.4085 Å, b = 4.4085 Å, c = 4.4085 Å
α = 90.00°, β = 90.00°, γ = 90.00°
Closest atoms and distances in Å follow each position.
Atoms (fractional coordinates):
Hf (0.0000, 0.0000, 0.0000)  12 Hf 3.12
Hf (0.0000, 0.5000, 0.5000)  12 Hf 3.12
Hf (0.5000, 0.0000, 0.5000)  12 Hf 3.12
Hf (0.5000, 0.5000, 0.0000)  12 Hf 3.12

---

## c
A crystal of Hf relaxed with PBEsol. Source: Alexandria via LeMat-Bulk, functional meta-GGA SCAN.

a = 4.9029 Å, b = 4.9029 Å, c = 3.0586 Å
α = 90.00°, β = 90.00°, γ = 120.00°
Closest atoms and distances in Å follow each position.
Atoms (fractional coordinates):
Hf (0.0000, 0.0000, 0.0000)  14 Hf 3.06-3.22
Hf (0.3333, 0.6667, 0.5000)  5 Hf 2.83-3.06
Hf (0.6667, 0.3333, 0.5000)  5 Hf 2.83-3.06

---

Quick one: most stable of them? a